(A)
# HfNbAl3

Crystalline HfNbAl3 at its relaxed geometry (PBE-GGA, Alexandria via LeMat-Bulk).

The structure belongs to space group Pm-3m (No. 221); the cell edges are 4.9347, 4.9347 and 4.9347 Å and the angles 90.00°, 90.00° and 90.00°. The inequivalent atoms are Hf at (0.0000, 0.0000, 0.0000), Nb at (0.5000, 0.5000, 0.5000) and Al at (0.0000, 0.0000, 0.5000).


(B)
# HfNbAl3

Crystalline HfNbAl3 at its relaxed geometry (PBE-GGA, Alexandria via LeMat-Bulk).

The structure belongs to space group Pm-3m (No. 221); the cell edges are 4.7969, 4.7969 and 4.7969 Å and the angles 90.00°, 90.00° and 90.00°. The inequivalent atoms are Hf at (0.0000, 0.0000, 0.0000), Nb at (0.5000, 0.5000, 0.5000) and Al at (0.0000, 0.5000, 0.5000).


(C)
# HfNbAl3

Crystalline HfNbAl3 at its relaxed geometry (PBE-GGA, Alexandria via LeMat-Bulk).

The structure belongs to space group I4mm (No. 107); the cell edges are 3.7501, 3.7501 and 13.4035 Å and the angles 90.00°, 90.00° and 90.00°. The inequivalent atoms are Hf at (0.0000, 0.0000, 0.0000), Nb at (0.0000, 0.0000, 0.6076), Al at (0.0000, 0.0000, 0.4060) and Al at (0.0000, 0.5000, 0.2581).


How do the energies compare? Relative to the most stable structure, in meV per atom: (A) 1409; (B) 772; (C) 0.


(A)
# HfAl2Ni2

Crystalline HfAl2Ni2 at its relaxed geometry (PBE-GGA, Alexandria via LeMat-Bulk).

The structure belongs to space group P4/mbm (No. 127); the cell edges are 7.2956, 7.2956 and 2.6702 Å and the angles 90.00°, 90.00° and 90.00°. The inequivalent atoms are Hf at (0.0000, 0.0000, 0.0000), Al at (0.1285, 0.3715, 0.0000) and Ni at (0.1668, 0.6668, 0.5000).


(B)
# HfAl2Ni2

Crystalline HfAl2Ni2 at its relaxed geometry (PBE-GGA, Alexandria via LeMat-Bulk).

The structure belongs to space group P4/mbm (No. 127); the cell edges are 7.1747, 7.1747 and 2.7793 Å and the angles 90.00°, 90.00° and 90.00°. The inequivalent atoms are Hf at (0.0000, 0.0000, 0.0000), Al at (0.1565, 0.3435, 0.5000) and Ni at (0.1348, 0.6348, 0.0000).


How do the energies compare? Relative to the most stable structure, in meV per atom: (A) 44; (B) 0.